Density functional theory data (PBE) for a geometry-optimized Ca2ZrCrPt structure.

Summary:
Energy of formation in eV per formula unit: 3.39
Total moment in μB per cell: 2.49

```
Ca2ZrCrPt
1.0
5.431 0.000 0.000
0.000 5.431 0.000
0.000 0.000 4.703
Ca Zr Cr Pt
2 1 1 1
Cartesian
0.000 2.716 0.000
2.716 0.000 0.000
0.000 0.000 2.351
2.716 2.716 2.351
2.716 2.716 0.000
```

Density functional theory data (PBE) for a geometry-optimized RbCaCr3 structure.

Summary:
Polymorph energy (0 for the lowest one) in eV per atom: 0.000
Energy of formation in eV per formula unit: 8.47
Total moment in μB per cell: 15.40

```
RbCaCr3
1.0
5.959 0.000 0.000
0.000 5.959 0.000
0.000 0.000 5.959
Rb Ca Cr
1 1 3
Cartesian
0.000 0.000 0.000
2.980 2.980 2.980
0.000 2.980 2.980
2.980 0.000 2.980
2.980 2.980 0.000
```

Density functional theory data (PBE) for a geometry-optimized RbCa2Cr2 structure.

Summary:
Polymorph energy (0 for the lowest one) in eV per atom: 0.000
Energy of formation in eV per formula unit: 3.67
Total moment in μB per cell: 3.58

```
RbCa2Cr2
1.0
3.426 0.000 0.000
0.000 3.426 0.000
0.000 0.000 25.996
Rb Ca Cr
2 4 4
Cartesian
0.000 0.000 0.000
1.713 1.713 12.998
0.000 0.000 9.099
0.000 0.000 16.896
1.713 1.713 3.899
1.713 1.713 22.097
0.000 1.713 6.499
0.000 1.713 19.497
1.713 0.000 6.499
1.713 0.000 19.497
```

Density functional theory data (PBE) for a geometry-optimized RbCaCr3 structure.

Summary:
Polymorph energy (0 for the lowest one) in eV per atom: 0.334
Energy of formation in eV per formula unit: 10.14
Total moment in μB per cell: 15.38

```
RbCaCr3
1.0
5.764 0.000 0.000
0.000 5.764 0.000
0.000 0.000 5.764
Rb Ca Cr
1 1 3
Cartesian
0.000 0.000 0.000
2.882 2.882 2.882
0.000 0.000 2.882
0.000 2.882 0.000
2.882 0.000 0.000
```

Density functional theory data (PBE) for a geometry-optimized RbCa2Cr2 structure.

Summary:
Polymorph energy (0 for the lowest one) in eV per atom: 0.153
Energy of formation in eV per formula unit: 4.44
Total moment in μB per cell: 0.15

```
RbCa2Cr2
1.0
9.257 0.000 0.000
0.000 9.257 0.000
0.000 0.000 3.430
Rb Ca Cr
2 4 4
Cartesian
0.000 0.000 0.000
4.629 4.629 0.000
1.814 2.814 0.000
2.814 7.443 0.000
6.443 1.814 0.000
7.443 6.443 0.000
0.631 5.259 1.715
3.998 0.631 1.715
5.259 8.627 1.715
8.627 3.998 1.715
```

Density functional theory data (PBE) for a geometry-optimized Ca3CrRe structure.

Summary:
Polymorph energy (0 for the lowest one) in eV per atom: 0.000
Energy of formation in eV per formula unit: 5.43
Total moment in μB per cell: 6.18

```
Ca3CrRe
1.0
5.509 0.000 0.000
0.000 5.509 0.000
0.000 0.000 5.509
Ca Cr Re
3 1 1
Cartesian
0.000 0.000 2.755
0.000 2.755 0.000
2.755 0.000 0.000
2.755 2.755 2.755
0.000 0.000 0.000
```

no.,V (Å³/f.u.)
1,138.72
2,211.63
3,152.52
4,191.51
5,146.97
6,167.21